Computed, not measured: a relaxed Nd2ErGa4Pt3 crystal at the GGA-PBE level of DFT.

Cell: 4.251 4.251 11.573 Å, 90.00 90.00 90.00°
Space group P-4m2 (No. 115)
Symmetry-distinct sites (fractional):
Nd  0.000  0.500  0.228 [2 per cell]
Er  0.000  0.000  0.500 [1 per cell]
Ga  0.000  0.000  0.000 [1 per cell]
Ga  0.000  0.500  0.664 [2 per cell]
Ga  0.500  0.500  0.000 [1 per cell]
Pt  0.000  0.500  0.877 [2 per cell]
Pt  0.500  0.500  0.500 [1 per cell]

## Properties
* VASP energy: -5.32 eV/atom
* calculated formation energy: -0.8907 eV/atom
* V: 20.9 A^3/atom
* magnetization: 0.00 μB/atom

---

Computed, not measured: a relaxed NdErGaRh crystal at the GGA-PBE level of DFT.

Cell: 7.111 7.111 7.111 Å, 90.00 90.00 90.00°
Space group F-43m (No. 216)
Symmetry-distinct sites (fractional):
Nd  0.000  0.000  0.000 [4 per cell]
Er  0.000  0.000  0.500 [4 per cell]
Ga  0.250  0.250  0.250 [4 per cell]
Rh  0.250  0.250  0.750 [4 per cell]

## Properties
* VASP energy: -5.53 eV/atom
* calculated formation energy: -0.6076 eV/atom
* relative energy among the computed polymorphs: 8.47 kJ per mole of atoms
* V: 22.5 A^3/atom
* magnetization: 0.00 μB/atom

---

> What is the V in the first record?

20.9 A^3/atom

---

> Which value of magnetization does entry 1 give?

0.00 μB/atom

---

> Among the records above, which one has the lowest V?

Nd2ErGa4Pt3

---

> Which value of magnetization does entry 1 give?

0.00 μB/atom